Entry 1:
The following is a PBE calculation of MgIn16Hg12 after structural relaxation, from Alexandria via LeMat-Bulk.

Summary:
**N(E_F)**: 0.22 states/eV/atom
**Magnetization**: 0.00 μB per formula unit
**Energy of formation from the pure elements**: 0.3 eV/f.u.
**Space-group type**: Cm
**E_tot**: -48.77 eV for the cell shown

a = 9.9748 Å, b = 9.9748 Å, c = 9.9885 Å
α = 70.22°, β = 70.22°, γ = 109.42°
With the nearest neighbours (Å) after each atom.
Element x y z (fractional)
1 Mg 0.5681 0.5681 0.7300  5 Hg 2.90-3.05, 1 In 3.18
2 In 0.3447 0.3447 0.6413  1 Mg 3.18, 3 In 3.33-3.46, 6 Hg 3.41-3.54
3 In 0.0007 0.0007 0.0032  9 Hg 3.35-3.71, 4 In 3.41-3.46
4 In 0.0235 0.0235 0.3284  4 In 3.27-3.41, 4 Hg 3.33-3.37
5 In 0.3231 0.3231 0.2982  3 Hg 3.19-3.32, 7 In 3.29-3.47
6 In 0.6938 0.4087 0.9980  5 Hg 3.09-3.43, 3 In 3.23-3.45
7 In 0.6090 0.2865 0.3902  4 Hg 3.20-3.35, 6 In 3.33-3.44
8 In 0.0016 0.6951 0.5797  5 Hg 3.08-3.33, 4 In 3.27-3.41
9 In 0.9916 0.6478 0.0155  4 Hg 3.23-3.55, 4 In 3.23-3.45
10 In 0.7257 0.3058 0.6966  5 Hg 3.04-3.30, 1 In 3.24
11 In 0.3972 0.0037 0.3162  5 Hg 3.21-3.54, 7 In 3.26-3.49
12 In 0.0037 0.3972 0.3162  5 Hg 3.21-3.54, 7 In 3.26-3.49
13 In 0.3058 0.7257 0.6966  5 Hg 3.04-3.30, 1 In 3.24
14 In 0.6478 0.9916 0.0155  4 Hg 3.23-3.55, 4 In 3.23-3.45
15 In 0.6951 0.0016 0.5797  5 Hg 3.08-3.33, 4 In 3.27-3.41
16 In 0.2865 0.6090 0.3902  4 Hg 3.20-3.35, 6 In 3.33-3.44
17 In 0.4087 0.6938 0.9980  5 Hg 3.09-3.43, 3 In 3.23-3.45
18 Hg 0.7833 0.7833 0.7935  1 Mg 2.90, 4 In 3.08-3.21, 3 Hg 3.08-3.18
19 Hg 0.6507 0.6507 0.1656  3 Hg 3.08-3.17, 8 In 3.19-3.43
20 Hg 0.3892 0.2037 0.9911  3 Hg 3.02-3.16, 1 Mg 3.05, 4 In 3.09-3.33
21 Hg 0.7911 0.6052 0.4088  3 Hg 3.03-3.17, 1 Mg 3.03, 3 In 3.04-3.21
22 Hg 0.1703 0.9821 0.6493  3 Hg 3.05-3.18, 6 In 3.21-3.41
23 Hg 0.3959 0.0151 0.7946  3 Hg 3.05-3.14, 6 In 3.11-3.41
24 Hg 0.1715 0.8154 0.1799  3 Hg 3.10-3.16, 8 In 3.20-3.47
25 Hg 0.8154 0.1715 0.1799  3 Hg 3.10-3.16, 8 In 3.20-3.47
26 Hg 0.0151 0.3959 0.7946  3 Hg 3.05-3.14, 6 In 3.11-3.41
27 Hg 0.9821 0.1703 0.6493  3 Hg 3.05-3.18, 6 In 3.21-3.41
28 Hg 0.6052 0.7911 0.4088  3 Hg 3.03-3.17, 1 Mg 3.03, 3 In 3.04-3.21
29 Hg 0.2037 0.3892 0.9911  3 Hg 3.02-3.16, 1 Mg 3.05, 4 In 3.09-3.33

***

Entry 2:
The following is a PBE calculation of Mg3In2Hg5 after structural relaxation, from Alexandria via LeMat-Bulk.

Summary:
**N(E_F)**: 0.31 states/eV/atom
**Magnetization**: 0.00 μB per formula unit
**Energy of formation from the pure elements**: -0.9 eV/f.u.
**Space-group type**: C2/c
**E_tot**: -25.41 eV for the cell shown

a = 6.5222 Å, b = 8.7364 Å, c = 8.7372 Å
α = 98.01°, β = 97.90°, γ = 97.91°
With the nearest neighbours (Å) after each atom.
Element x y z (fractional)
1 Mg 0.5420 0.5313 0.7996  6 Hg 2.83-3.08
2 Mg 0.0420 0.7994 0.5310  6 Hg 2.83-3.08
3 Mg 0.4580 0.4687 0.2004  6 Hg 2.83-3.08
4 Mg 0.9580 0.2006 0.4690  6 Hg 2.83-3.08
5 Mg 0.2500 0.0359 0.9642  8 Hg 2.95-3.10
6 Mg 0.7500 0.9641 0.0358  8 Hg 2.95-3.10
7 In 0.9293 0.5990 0.1671  5 Hg 3.08-3.45, 2 Mg 3.19-3.34
8 In 0.4294 0.1672 0.5987  5 Hg 3.08-3.44, 2 Mg 3.19-3.34
9 In 0.0707 0.4010 0.8329  5 Hg 3.08-3.45, 2 Mg 3.19-3.34
10 In 0.5706 0.8328 0.4013  5 Hg 3.08-3.44, 2 Mg 3.19-3.34
11 Hg 0.6139 0.2711 0.9479  4 Mg 2.83-3.10, 1 In 3.08, 1 Hg 3.16
12 Hg 0.1139 0.9483 0.2712  4 Mg 2.83-3.10, 1 In 3.08, 1 Hg 3.16
13 Hg 0.3861 0.7289 0.0521  4 Mg 2.83-3.10, 1 In 3.08, 1 Hg 3.16
14 Hg 0.8861 0.0517 0.7288  4 Mg 2.83-3.10, 1 In 3.08, 1 Hg 3.16
15 Hg 0.9403 0.7302 0.8437  4 Mg 2.87-3.08, 2 In 3.10-3.20, 1 Hg 3.16
16 Hg 0.0597 0.2698 0.1563  4 Mg 2.87-3.08, 2 In 3.10-3.20, 1 Hg 3.16
17 Hg 0.7499 0.4967 0.5032  4 Mg 3.00-3.08, 4 Hg 3.26-3.34
18 Hg 0.2501 0.5033 0.4968  4 Mg 3.00-3.08, 4 Hg 3.26-3.34
19 Hg 0.5601 0.1562 0.2695  4 Mg 2.87-3.08, 2 In 3.10-3.20, 1 Hg 3.16
20 Hg 0.4399 0.8438 0.7305  4 Mg 2.87-3.08, 2 In 3.10-3.20, 1 Hg 3.16

***

Entry 3:
The following is a PBE calculation of Mg5In2Hg12 after structural relaxation, from Alexandria via LeMat-Bulk.

Summary:
**N(E_F)**: 0.35 states/eV/atom
**Magnetization**: 0.00 μB per formula unit
**Energy of formation from the pure elements**: -0.7 eV/f.u.
**Space-group type**: C2/m
**E_tot**: -17.76 eV for the cell shown
**Excess energy over the best structure of this formula in the dataset**: 0.025 eV/atom

a = 6.3160 Å, b = 8.8192 Å, c = 9.9235 Å
α = 105.01°, β = 90.00°, γ = 110.98°
With the nearest neighbours (Å) after each atom.
Element x y z (fractional)
1 Mg 0.3119 0.6238 0.6453  7 Hg 2.83-2.93
2 Mg 0.3588 0.7176 0.1401  5 Hg 2.80-3.00
3 Mg 0.0000 0.0000 0.5000  6 Hg 2.92-2.98
4 Mg 0.6412 0.2824 0.8599  5 Hg 2.80-3.00
5 Mg 0.6881 0.3762 0.3547  7 Hg 2.83-2.93
6 In 0.7394 0.0000 0.0000  2 In 3.02-3.29, 4 Hg 3.07-3.17, 2 Mg 3.38
7 In 0.2606 0.0000 0.0000  2 In 3.02-3.29, 4 Hg 3.07-3.17, 2 Mg 3.38
8 Hg 0.9238 0.8476 0.1965  1 Mg 2.92, 2 In 3.07, 2 Hg 3.27
9 Hg 0.0420 0.6017 0.8799  3 Mg 2.89-3.00, 2 Hg 3.05-3.19, 1 In 3.17
10 Hg 0.5597 0.6017 0.8799  3 Mg 2.89-3.00, 2 Hg 3.05-3.19, 1 In 3.17
11 Hg 0.0937 0.6822 0.4138  4 Mg 2.90-3.22, 3 Hg 3.12-3.19
12 Hg 0.5884 0.6822 0.4138  4 Mg 2.90-3.22, 3 Hg 3.12-3.19
13 Hg 0.4853 0.9706 0.6556  2 Mg 2.80-2.83
14 Hg 0.5147 0.0294 0.3444  2 Mg 2.80-2.83
15 Hg 0.9063 0.3178 0.5862  4 Mg 2.90-3.22, 3 Hg 3.12-3.19
16 Hg 0.4116 0.3178 0.5862  4 Mg 2.90-3.22, 3 Hg 3.12-3.19
17 Hg 0.9580 0.3983 0.1201  3 Mg 2.89-3.00, 2 Hg 3.05-3.19, 1 In 3.17
18 Hg 0.4403 0.3983 0.1201  3 Mg 2.89-3.00, 2 Hg 3.05-3.19, 1 In 3.17
19 Hg 0.0762 0.1524 0.8035  1 Mg 2.92, 2 In 3.07, 2 Hg 3.27

***

Entry 4:
The following is a PBE calculation of Mg2InHg5 after structural relaxation, from Alexandria via LeMat-Bulk.

Summary:
**N(E_F)**: 0.36 states/eV/atom
**Magnetization**: 0.00 μB per formula unit
**Energy of formation from the pure elements**: -0.6 eV/f.u.
**Space-group type**: Pbam
**E_tot**: -15.99 eV for the cell shown
**Excess energy over the best structure of this formula in the dataset**: 0.000 eV/atom

a = 4.5992 Å, b = 6.1780 Å, c = 13.2615 Å
α = 90.00°, β = 90.00°, γ = 90.00°
With the nearest neighbours (Å) after each atom.
Element x y z (fractional)
1 Mg 0.5000 0.2851 0.6362  9 Hg 3.04-3.23
2 Mg 0.5000 0.7149 0.3638  9 Hg 3.04-3.23
3 Mg 0.5000 0.2149 0.1362  9 Hg 3.04-3.23
4 Mg 0.5000 0.7851 0.8638  9 Hg 3.04-3.23
5 In 0.0000 0.0000 0.5000  8 Hg 3.09-3.27, 4 Mg 3.41
6 In 0.0000 0.5000 0.0000  8 Hg 3.09-3.27, 4 Mg 3.41
7 Hg 0.0000 0.0000 0.0000  2 In 3.09, 4 Mg 3.21, 6 Hg 3.28-3.38
8 Hg 0.0000 0.5000 0.5000  2 In 3.09, 4 Mg 3.21, 6 Hg 3.28-3.38
9 Hg 0.0000 0.5379 0.7540  7 Hg 3.09-3.38, 4 Mg 3.12-3.19, 1 In 3.27
10 Hg 0.0000 0.4621 0.2460  7 Hg 3.09-3.38, 4 Mg 3.12-3.19, 1 In 3.27
11 Hg 0.0000 0.9621 0.2540  7 Hg 3.09-3.38, 4 Mg 3.12-3.19, 1 In 3.27
12 Hg 0.0000 0.0379 0.7460  7 Hg 3.09-3.38, 4 Mg 3.12-3.19, 1 In 3.27
13 Hg 0.5000 0.2758 0.8797  3 Mg 3.04-3.23, 2 In 3.12, 6 Hg 3.25-3.28
14 Hg 0.5000 0.7242 0.1203  3 Mg 3.04-3.23, 2 In 3.12, 6 Hg 3.25-3.28
15 Hg 0.5000 0.2242 0.3797  3 Mg 3.04-3.23, 2 In 3.12, 6 Hg 3.25-3.28
16 Hg 0.5000 0.7758 0.6203  3 Mg 3.04-3.23, 2 In 3.12, 6 Hg 3.25-3.28

***

Number 2 is which compound?
Mg3In2Hg5

***

Please write out number 4 again, unchanged.
The following is a PBE calculation of Mg2InHg5 after structural relaxation, from Alexandria via LeMat-Bulk.

Summary:
**N(E_F)**: 0.36 states/eV/atom
**Magnetization**: 0.00 μB per formula unit
**Energy of formation from the pure elements**: -0.6 eV/f.u.
**Space-group type**: Pbam
**E_tot**: -15.99 eV for the cell shown
**Excess energy over the best structure of this formula in the dataset**: 0.000 eV/atom

a = 4.5992 Å, b = 6.1780 Å, c = 13.2615 Å
α = 90.00°, β = 90.00°, γ = 90.00°
With the nearest neighbours (Å) after each atom.
Element x y z (fractional)
1 Mg 0.5000 0.2851 0.6362  9 Hg 3.04-3.23
2 Mg 0.5000 0.7149 0.3638  9 Hg 3.04-3.23
3 Mg 0.5000 0.2149 0.1362  9 Hg 3.04-3.23
4 Mg 0.5000 0.7851 0.8638  9 Hg 3.04-3.23
5 In 0.0000 0.0000 0.5000  8 Hg 3.09-3.27, 4 Mg 3.41
6 In 0.0000 0.5000 0.0000  8 Hg 3.09-3.27, 4 Mg 3.41
7 Hg 0.0000 0.0000 0.0000  2 In 3.09, 4 Mg 3.21, 6 Hg 3.28-3.38
8 Hg 0.0000 0.5000 0.5000  2 In 3.09, 4 Mg 3.21, 6 Hg 3.28-3.38
9 Hg 0.0000 0.5379 0.7540  7 Hg 3.09-3.38, 4 Mg 3.12-3.19, 1 In 3.27
10 Hg 0.0000 0.4621 0.2460  7 Hg 3.09-3.38, 4 Mg 3.12-3.19, 1 In 3.27
11 Hg 0.0000 0.9621 0.2540  7 Hg 3.09-3.38, 4 Mg 3.12-3.19, 1 In 3.27
12 Hg 0.0000 0.0379 0.7460  7 Hg 3.09-3.38, 4 Mg 3.12-3.19, 1 In 3.27
13 Hg 0.5000 0.2758 0.8797  3 Mg 3.04-3.23, 2 In 3.12, 6 Hg 3.25-3.28
14 Hg 0.5000 0.7242 0.1203  3 Mg 3.04-3.23, 2 In 3.12, 6 Hg 3.25-3.28
15 Hg 0.5000 0.2242 0.3797  3 Mg 3.04-3.23, 2 In 3.12, 6 Hg 3.25-3.28
16 Hg 0.5000 0.7758 0.6203  3 Mg 3.04-3.23, 2 In 3.12, 6 Hg 3.25-3.28